i | Cs4AgAu3 | PBE | optimized geometry

Geometry as POSCAR:
```
Cs4AgAu3
1.0
7.454 0.000 0.000
0.000 7.454 0.000
0.000 0.000 7.454
Au Cs Ag
3 4 1
direct
0.500 0.500 0.000 Au
0.500 0.000 0.500 Au
0.000 0.500 0.500 Au
0.000 0.000 0.500 Cs
0.500 0.500 0.500 Cs
0.000 0.500 0.000 Cs
0.500 0.000 0.000 Cs
0.000 0.000 0.000 Ag
```

Volume (Å³/cell): 414.22
SG: Pm-3m (221)

ii | Cs4AgAu3 | PBE | optimized geometry

Geometry as POSCAR:
```
Cs4AgAu3
1.0
5.146 0.000 0.000
0.000 5.115 0.000
0.000 0.000 12.935
Au Ag Cs
3 1 4
direct
0.000 0.000 0.440 Au
0.000 0.500 0.564 Au
0.500 0.000 0.942 Au
0.500 0.500 0.052 Ag
0.500 0.500 0.365 Cs
0.000 0.500 0.853 Cs
0.500 0.000 0.640 Cs
0.000 0.000 0.143 Cs
```

Volume (Å³/cell): 340.52
SG: Pmm2 (25)

Tell me which of them is the most stable. Sure, it is ii.

i | Cs2AgAu | PBE | optimized geometry

Geometry as POSCAR:
```
Cs2AgAu
1.0
9.591 0.000 0.000
0.000 9.591 0.000
4.795 4.795 4.982
Au Cs Ag
2 4 2
direct
0.750 0.250 0.500 Au
0.000 0.000 0.000 Au
0.639 0.125 0.250 Cs
0.375 0.361 0.750 Cs
0.875 0.889 0.750 Cs
0.111 0.625 0.250 Cs
0.250 0.750 0.500 Ag
0.500 0.500 0.000 Ag
```

Volume (Å³/cell): 458.31
SG: I-42d (122)

ii | Cs2AgAu | PBE | optimized geometry

Geometry as POSCAR:
```
Cs2AgAu
1.0
-0.249 5.094 0.429
-6.931 -0.255 -0.993
2.534 -0.729 10.132
Cs Ag Au
4 2 2
direct
0.250 0.779 0.072 Cs
0.250 0.790 0.570 Cs
0.750 0.210 0.430 Cs
0.750 0.221 0.928 Cs
0.750 0.608 0.775 Ag
0.250 0.392 0.225 Ag
0.750 0.610 0.279 Au
0.250 0.390 0.721 Au
```

Volume (Å³/cell): 348.20
SG: P2_1/m (11)

iii | Cs2AgAu | PBE | optimized geometry

Geometry as POSCAR:
```
Cs2AgAu
1.0
-0.271 4.667 -2.308
-3.215 0.728 -4.039
-7.747 4.223 3.562
Ag Au Cs
1 1 2
direct
0.501 0.501 0.497 Ag
0.666 0.666 0.003 Au
0.079 0.079 0.763 Cs
0.255 0.255 0.236 Cs
```

Volume (Å³/cell): 212.49
SG: R3m (160)

iv | Cs2AgAu | PBE | optimized geometry

Geometry as POSCAR:
```
Cs2AgAu
1.0
9.832 -1.162 -1.864
-1.103 9.839 1.864
-5.613 -3.083 7.750
Cs Ag Au
2 1 1
direct
0.000 0.744 0.744 Cs
0.000 0.256 0.256 Cs
0.000 0.000 0.000 Ag
0.000 0.500 0.500 Au
```

Volume (Å³/cell): 699.22
SG: C2/m (12)

Tell me which of them is the most stable. Sure, it is ii.

i | Cs2AgAu | PBE | optimized geometry

Geometry as POSCAR:
```
Cs2AgAu
1.0
5.120 0.000 0.000
0.000 5.243 0.000
0.000 -2.622 6.494
Ag Cs Au
1 2 1
direct
0.000 0.678 0.356 Ag
0.500 0.268 0.536 Cs
0.000 0.983 0.966 Cs
0.500 0.570 0.141 Au
```

Volume (Å³/cell): 174.32
SG: Amm2 (38)

ii | Cs2AgAu | PBE | optimized geometry

Geometry as POSCAR:
```
Cs2AgAu
1.0
4.424 0.000 0.000
0.000 4.424 0.000
0.000 0.000 8.863
Au Cs Ag
1 2 1
direct
0.500 0.500 0.500 Au
0.000 0.000 0.740 Cs
0.000 0.000 0.260 Cs
0.500 0.500 0.000 Ag
```

Volume (Å³/cell): 173.43
SG: P4/mmm (123)

Tell me which of them is the most stable. Sure, it is i.

i | CsAgAu | PBE | optimized geometry

Geometry as POSCAR:
```
CsAgAu
1.0
5.289 0.000 0.000
0.000 4.813 0.000
0.000 -2.406 4.168
Cs Ag Au
1 1 1
direct
0.667 0.667 0.333 Cs
0.167 0.333 0.667 Ag
0.167 0.000 0.000 Au
```

Volume (Å³/cell): 106.10
SG: P-6m2 (187)

ii | CsAgAu | PBE | optimized geometry

Geometry as POSCAR:
```
CsAgAu
1.0
-3.178 3.473 -0.289
2.078 1.221 -8.163
-3.152 -5.857 2.759
Cs Au Ag
2 2 2
direct
0.746 0.746 0.492 Cs
0.254 0.254 0.508 Cs
0.000 0.663 0.000 Au
0.000 0.337 0.000 Au
0.500 0.163 0.000 Ag
0.500 0.837 0.000 Ag
```

Volume (Å³/cell): 213.10
SG: Immm (71)

iii | CsAgAu | PBE | optimized geometry

Geometry as POSCAR:
```
CsAgAu
1.0
-1.030 3.475 1.502
-3.532 -0.323 -1.677
0.102 -4.445 5.231
Cs Ag Au
1 1 1
direct
0.002 0.002 0.003 Cs
0.266 0.266 0.532 Ag
0.733 0.733 0.465 Au
```

Volume (Å³/cell): 96.65
SG: I4mm (107)

Tell me which of them is the most stable. Sure, it is i.

i | CsAg3Au | PBE | optimized geometry

Geometry as POSCAR:
```
CsAg3Au
1.0
-5.687 0.310 2.007
-1.797 -3.550 -4.542
0.946 -4.875 3.435
Ag Cs Au
3 1 1
direct
0.500 0.000 0.000 Ag
0.000 0.500 0.000 Ag
0.000 0.000 0.500 Ag
0.000 0.000 0.000 Cs
0.500 0.500 0.500 Au
```

Volume (Å³/cell): 220.17
SG: Pm-3m (221)

ii | CsAg3Au | PBE | optimized geometry

Geometry as POSCAR:
```
CsAg3Au
1.0
-5.039 -1.094 -1.578
1.624 -4.792 -1.865
-1.024 -2.218 4.808
Ag Au Cs
3 1 1
direct
0.000 0.000 0.500 Ag
0.500 0.000 0.000 Ag
0.000 0.500 0.000 Ag
0.000 0.000 0.000 Au
0.500 0.500 0.500 Cs
```

Volume (Å³/cell): 156.83
SG: Pm-3m (221)

Tell me which of them is the most stable. Sure, it is ii.

i | Cs2Ag2Au | PBE | optimized geometry

Geometry as POSCAR:
```
Cs2Ag2Au
1.0
7.047 0.000 0.000
0.000 7.047 0.000
3.524 3.524 4.105
Cs Ag Au
2 2 1
direct
0.750 0.250 0.500 Cs
0.250 0.750 0.500 Cs
0.665 0.665 0.670 Ag
0.335 0.335 0.330 Ag
0.000 0.000 0.000 Au
```

Volume (Å³/cell): 203.84
SG: I4/mmm (139)

ii | Cs2Ag2Au | PBE | optimized geometry

Geometry as POSCAR:
```
Cs2Ag2Au
1.0
-2.720 6.958 1.807
-3.171 0.573 -6.979
-4.772 -2.378 1.973
Ag Cs Au
4 4 2
direct
0.868 0.368 0.000 Ag
0.632 0.868 0.000 Ag
0.132 0.632 0.000 Ag
0.368 0.132 0.000 Ag
0.683 0.183 0.500 Cs
0.183 0.317 0.500 Cs
0.317 0.817 0.500 Cs
0.817 0.683 0.500 Cs
0.000 0.000 0.000 Au
0.500 0.500 0.000 Au
```

Volume (Å³/cell): 335.90
SG: P4/mbm (127)

Tell me which of them is the most stable. Sure, it is i.